Below is Na2Co2F after structural relaxation, with properties calculated at the PBE+U level. Values from VASP.

Cell and atoms, written as Quantum ESPRESSO input:
```
&SYSTEM
  ibrav = 0, nat = 10, ntyp = 3
/
ATOMIC_SPECIES
Na 22.99 Na.upf
Co 58.93 Co.upf
F 19.00 F.upf
CELL_PARAMETERS angstrom
5.753 0.000 0.000
0.000 5.753 0.000
0.000 0.000 5.789
ATOMIC_POSITIONS angstrom
Na 1.050 1.827 0.000
Na 1.827 4.703 0.000
Na 3.927 1.050 0.000
Na 4.703 3.927 0.000
Co 0.965 3.842 2.894
Co 1.911 0.965 2.894
Co 3.842 4.788 2.894
Co 4.788 1.911 2.894
F 0.000 0.000 0.000
F 2.877 2.877 0.000
```

**ΔE to the lowest computed polymorph**: 337 meV per atom
**Total energy**: -30.9 eV per cell
**Space-group type**: No. 127
**DOS(E_F)**: 1.566 states/eV/f.u.